This record from Alexandria describes Fe5Co6Si after structural relaxation. The functional is PBE.

uncorrected formation energy	-0.15	eV per atom
DOS(E_F)	7.73	states/eV/f.u.
density	8.056	g cm⁻³
raw total energy	-184.4	eV per cell

CIF file:
```
data_Fe5Co6Si
_chemical_formula_sum 'Fe10 Co12 Si2'
_cell_length_a 4.009
_cell_length_b 5.651
_cell_length_c 12.026
_cell_angle_alpha 90.00
_cell_angle_beta 90.00
_cell_angle_gamma 90.00
_space_group_name_H-M_alt 'I m m m'
_space_group_IT_number 71
_space_group_name_Hall '-I 2 2'
loop_
_atom_site_label
_atom_site_type_symbol
_atom_site_fract_x
_atom_site_fract_y
_atom_site_fract_z
Fe1 Fe 0.000 0.000 0.000
Fe2 Fe 0.000 0.000 0.330
Fe3 Fe 0.000 0.500 0.334
Co1 Co 0.000 0.244 0.500
Co2 Co 0.000 0.253 0.165
Si1 Si 0.000 0.500 0.000
```